(1)
NiPCl2 after structural relaxation. Source: the Alexandria database, functional GGA-PBEsol.

a b c (Å): 7.743 7.743 7.743
angles (deg): 24.44 24.44 24.44
Element x y z (fractional)
Ni 0.000 0.000 0.000
P 0.719 0.719 0.719
Cl 0.272 0.272 0.272
Cl 0.465 0.465 0.465

Output
Calculated density, g/cm3: 3.82
DFT total energy, eV/atom: -4.326
Space-group type: No. 160
Formation energy (no corrections), eV/atom: -0.335



(2)
RbNiP2Cl after structural relaxation. Source: the Alexandria database, functional GGA-PBEsol.

a b c (Å): 6.215 6.215 5.700
angles (deg): 90.00 90.00 90.00
Element x y z (fractional)
Rb 0.000 0.000 0.000
Ni 0.500 0.500 0.500
P 0.000 0.500 0.000
P 0.500 0.000 0.000
Cl 0.000 0.000 0.500

Output
Offset from the most stable computed form, meV per atom: 2190
Calculated density, g/cm3: 1.82
DFT total energy, eV/atom: -2.203
Space-group type: No. 123
Formation energy (no corrections), eV/atom: 1.952



(3)
RbNiP2Cl after structural relaxation. Source: the Alexandria database, functional GGA-PBEsol.

a b c (Å): 4.218 4.218 7.327
angles (deg): 90.00 90.00 90.00
Element x y z (fractional)
Rb 0.000 0.000 0.000
Ni 0.500 0.500 0.500
P 0.000 0.500 0.500
P 0.500 0.000 0.500
Cl 0.500 0.500 0.000

Output
Offset from the most stable computed form, meV per atom: 0
Calculated density, g/cm3: 3.08
DFT total energy, eV/atom: -4.393
Space-group type: No. 123
Formation energy (no corrections), eV/atom: -0.238



(4)
ReNiP2Cl after structural relaxation. Source: the Alexandria database, functional GGA-PBEsol.

a b c (Å): 4.340 4.340 4.265
angles (deg): 90.00 90.00 90.00
Element x y z (fractional)
Re 0.000 0.000 0.000
Ni 0.500 0.500 0.500
P 0.000 0.500 0.500
P 0.500 0.000 0.500
Cl 0.500 0.500 0.000

Output
Calculated density, g/cm3: 7.08
DFT total energy, eV/atom: -5.462
Space-group type: No. 123
Formation energy (no corrections), eV/atom: 1.154



(5)
SiNiP2Cl after structural relaxation. Source: the Alexandria database, functional GGA-PBEsol.

a b c (Å): 4.480 4.480 4.393
angles (deg): 90.00 90.00 90.00
Element x y z (fractional)
Si 0.000 0.000 0.000
Ni 0.500 0.500 0.500
P 0.000 0.500 0.000
P 0.500 0.000 0.000
Cl 0.000 0.000 0.500

Output
Calculated density, g/cm3: 3.47
DFT total energy, eV/atom: -4.228
Space-group type: No. 123
Formation energy (no corrections), eV/atom: 0.871



(6)
SiNiPCl2 after structural relaxation. Source: the Alexandria database, functional GGA-PBEsol.

a b c (Å): 4.331 4.331 4.753
angles (deg): 90.00 90.00 90.00
Element x y z (fractional)
Si 0.000 0.000 0.000
Ni 0.500 0.500 0.500
P 0.500 0.500 0.000
Cl 0.000 0.500 0.500
Cl 0.500 0.000 0.500

Output
Calculated density, g/cm3: 3.51
DFT total energy, eV/atom: -4.031
Space-group type: No. 123
Formation energy (no corrections), eV/atom: 0.312



(7)
TcNiP2Cl after structural relaxation. Source: the Alexandria database, functional GGA-PBEsol.

a b c (Å): 4.336 4.336 4.389
angles (deg): 90.00 90.00 90.00
Element x y z (fractional)
Tc 0.000 0.000 0.000
Ni 0.500 0.500 0.500
P 0.000 0.500 0.500
P 0.500 0.000 0.500
Cl 0.500 0.500 0.000

Output
Calculated density, g/cm3: 5.11
DFT total energy, eV/atom: -5.316
Space-group type: No. 123
Formation energy (no corrections), eV/atom: 0.887



(8)
NiPb2Cl after structural relaxation. Source: the Alexandria database, functional GGA-PBEsol.

a b c (Å): 3.233 3.233 8.249
angles (deg): 90.00 90.00 90.00
Element x y z (fractional)
Ni 0.000 0.000 0.000
Pb 0.000 0.000 0.532
Pb 0.500 0.500 0.195
Cl 0.500 0.500 0.826

Output
Calculated density, g/cm3: 9.80
DFT total energy, eV/atom: -3.998
Space-group type: No. 99
Formation energy (no corrections), eV/atom: 0.043



(9)
Ni2PdCl after structural relaxation. Source: the Alexandria database, functional GGA-PBEsol.

a b c (Å): 4.207 4.207 4.207
angles (deg): 60.00 60.00 60.00
Element x y z (fractional)
Ni 0.250 0.250 0.250
Ni 0.750 0.750 0.750
Pd 0.000 0.000 0.000
Cl 0.500 0.500 0.500

Output
Calculated density, g/cm3: 8.18
DFT total energy, eV/atom: -4.555
Space-group type: No. 225
Formation energy (no corrections), eV/atom: 0.516



(10)
RbNiPd2Cl after structural relaxation. Source: the Alexandria database, functional GGA-PBEsol.

a b c (Å): 4.794 4.794 4.499
angles (deg): 90.00 90.00 90.00
Element x y z (fractional)
Rb 0.000 0.000 0.000
Ni 0.500 0.500 0.500
Pd 0.000 0.500 0.500
Pd 0.500 0.000 0.500
Cl 0.500 0.500 0.000

Output
Calculated density, g/cm3: 6.30
DFT total energy, eV/atom: -3.952
Space-group type: No. 123
Formation energy (no corrections), eV/atom: 0.269



(11)
NiPt2Cl after structural relaxation. Source: the Alexandria database, functional GGA-PBEsol.

a b c (Å): 2.858 4.498 4.563
angles (deg): 90.00 90.04 90.00
Element x y z (fractional)
Ni 0.000 0.000 0.000
Pt 0.248 0.500 0.756
Pt 0.752 0.500 0.244
Cl 0.500 0.000 0.500

Output
Offset from the most stable computed form, meV per atom: 142
Calculated density, g/cm3: 13.71
DFT total energy, eV/atom: -5.094
Space-group type: No. 10
Formation energy (no corrections), eV/atom: 0.429



(12)
NiPt2Cl after structural relaxation. Source: the Alexandria database, functional GGA-PBEsol.

a b c (Å): 8.050 8.050 8.050
angles (deg): 20.95 20.95 20.95
Element x y z (fractional)
Ni 0.000 0.000 0.000
Pt 0.257 0.257 0.257
Pt 0.743 0.743 0.743
Cl 0.500 0.500 0.500

Output
Offset from the most stable computed form, meV per atom: 12
Calculated density, g/cm3: 13.77
DFT total energy, eV/atom: -5.224
Space-group type: No. 166
Formation energy (no corrections), eV/atom: 0.299



(13)
Ni2PtCl after structural relaxation. Source: the Alexandria database, functional GGA-PBEsol.

a b c (Å): 2.729 4.276 4.559
angles (deg): 90.00 90.00 90.00
Element x y z (fractional)
Ni 0.000 0.000 0.000
Ni 0.500 0.000 0.500
Pt 0.000 0.500 0.500
Cl 0.500 0.500 0.000

Output
Offset from the most stable computed form, meV per atom: 304
Calculated density, g/cm3: 10.86
DFT total energy, eV/atom: -4.746
Space-group type: No. 47
Formation energy (no corrections), eV/atom: 0.576